## KDyMnF6 (GGA+U)

Data for crystalline KDyMnF6 at its relaxed geometry.

Calculated values
Mass density   3.7 g cm⁻³
D(E_F)   0.0 states/eV/cell
Electronic total energy   -54.53 eV per formula unit

The structure in extended XYZ format:
```
18
Lattice="-0.061 4.870 3.331 -4.590 -3.707 0.109 4.670 -5.542 8.187" Properties=species:S:1:pos:R:3 pbc="T T T"
F -3.908 -2.686 2.543
Mn 1.932 -2.145 8.398
F 2.259 -4.276 8.288
Dy 0.423 -5.004 7.324
F -1.048 -2.181 1.253
K 2.335 -2.771 4.093
F -2.239 -0.103 3.340
F 1.250 -0.113 8.644
F -1.230 -4.266 2.984
F 3.927 -1.692 9.085
Dy -0.403 0.626 4.304
F -2.951 -2.615 5.083
Mn -1.913 -2.233 3.230
F 2.971 -1.763 6.545
K 0.000 0.000 0.000
F -0.099 -1.548 4.178
F 1.068 -2.197 10.374
F 0.119 -2.830 7.449
```